Entry from the Open Quantum Materials Database: a relaxed structure of LiDyZnTe3 (PBE).

Calculated values
SG = No. 63

Lattice parameters (Å, degrees): 7.462 7.462 11.450 90.00 90.00 147.17
Element x y z (fractional)
Li 0.206 0.794 0.750
Li 0.794 0.206 0.250
Dy 0.000 0.000 0.000
Dy 0.000 0.000 0.500
Zn 0.477 0.523 0.250
Zn 0.523 0.477 0.750
Te 0.094 0.906 0.250
Te 0.356 0.644 0.073
Te 0.356 0.644 0.427
Te 0.644 0.356 0.573
Te 0.644 0.356 0.927
Te 0.906 0.094 0.750

=====

Entry from the Open Quantum Materials Database: a relaxed structure of LiDyZnTe3 (PBE).

Calculated values
SG = No. 11

Lattice parameters (Å, degrees): 8.454 4.278 10.406 90.00 104.27 90.00
Element x y z (fractional)
Li 0.187 0.250 0.139
Li 0.813 0.750 0.861
Dy 0.323 0.750 0.850
Dy 0.677 0.250 0.150
Zn 0.083 0.250 0.597
Zn 0.917 0.750 0.403
Te 0.059 0.250 0.849
Te 0.244 0.750 0.536
Te 0.422 0.750 0.158
Te 0.578 0.250 0.842
Te 0.756 0.250 0.464
Te 0.941 0.750 0.151

=====

Entry from the Open Quantum Materials Database: a relaxed structure of LiDyTl (PBE).

Calculated values
SG = No. 216

Lattice parameters (Å, degrees): 4.697 4.697 4.697 60.00 60.00 60.00
Element x y z (fractional)
Li 0.000 0.000 0.000
Dy 0.750 0.750 0.750
Tl 0.250 0.250 0.250

=====

Entry from the Open Quantum Materials Database: a relaxed structure of LiDyTm (PBE).

Calculated values
SG = No. 216

Lattice parameters (Å, degrees): 5.004 5.004 5.004 60.00 60.00 60.00
Element x y z (fractional)
Li 0.000 0.000 0.000
Dy 0.750 0.750 0.750
Tm 0.250 0.250 0.250

=====

Entry from the Open Quantum Materials Database: a relaxed structure of LiDyU (PBE).

Calculated values
SG = No. 216

Lattice parameters (Å, degrees): 4.855 4.855 4.855 60.00 60.00 60.00
Element x y z (fractional)
Li 0.000 0.000 0.000
Dy 0.750 0.750 0.750
U 0.250 0.250 0.250

=====

Entry from the Open Quantum Materials Database: a relaxed structure of LiDyW (PBE).

Calculated values
SG = No. 216

Lattice parameters (Å, degrees): 4.697 4.697 4.697 60.00 60.00 60.00
Element x y z (fractional)
Li 0.000 0.000 0.000
Dy 0.250 0.250 0.250
W 0.500 0.500 0.500

=====

Entry from the Open Quantum Materials Database: a relaxed structure of LiDyW (PBE).

Calculated values
SG = No. 216

Lattice parameters (Å, degrees): 4.415 4.415 4.415 60.00 60.00 60.00
Element x y z (fractional)
Li 0.000 0.000 0.000
Dy 0.750 0.750 0.750
W 0.250 0.250 0.250

=====

Entry from the Open Quantum Materials Database: a relaxed structure of Li2Dy2Zn15 (PBE).

Calculated values
SG = No. 166

Lattice parameters (Å, degrees): 6.753 6.753 6.753 83.28 83.28 83.28
Element x y z (fractional)
Li 0.098 0.098 0.098
Li 0.902 0.902 0.902
Dy 0.340 0.340 0.340
Dy 0.660 0.660 0.660
Zn 0.000 0.000 0.500
Zn 0.000 0.297 0.703
Zn 0.000 0.500 0.000
Zn 0.000 0.703 0.297
Zn 0.160 0.649 0.649
Zn 0.297 0.000 0.703
Zn 0.297 0.703 0.000
Zn 0.351 0.351 0.840
Zn 0.351 0.840 0.351
Zn 0.500 0.000 0.000
Zn 0.649 0.160 0.649
Zn 0.649 0.649 0.160
Zn 0.703 0.000 0.297
Zn 0.703 0.297 0.000
Zn 0.840 0.351 0.351

=====

no.,raw total energy (eV per atom)
1,-3.81
2,-3.83
3,-2.99
4,-3.14
5,-4.80
6,-4.83
7,-5.24
8,-1.94